[1]
A plane-wave DFT calculation with PBE-GGA was carried out for an optimized crystal structure of Y2NbGaFe.

a b c (Å): 5.5031 4.3764 5.5031
angles (deg): 90.00 90.00 90.00
Closest atoms and distances in Å follow each position.
Positions (direct):
Y 0.0000 0.0000 0.5000  2 Nb 2.75
Y 0.5000 0.0000 0.0000  2 Nb 2.75
Nb 0.0000 0.0000 0.0000  2 Fe 2.19
Fe 0.0000 0.5000 0.0000  2 Nb 2.19
Ga 0.5000 0.5000 0.5000  8 Y 3.52, 4 Fe 3.89

Output
energy relative to the elements: 0.717 eV/atom
calculated density: 4.965 g cm⁻³
spin magnetization: 1.206 μB per formula unit
N(E_F): 1.17 states/eV/atom
raw total energy: -6.181 eV/atom
symmetry: No. 123

[2]
A plane-wave DFT calculation with PBE-GGA was carried out for an optimized crystal structure of YZr2Re2.

a b c (Å): 4.3994 4.3994 6.5655
angles (deg): 70.43 70.43 90.00
Closest atoms and distances in Å follow each position.
Positions (direct):
Y 0.0000 0.0000 0.0000  8 Re 3.34, 8 Zr 3.63
Re 0.3942 0.3942 0.2117  1 Re 2.45
Re 0.6058 0.6058 0.7883  1 Re 2.45
Zr 0.7500 0.2500 0.5000  4 Re 2.76
Zr 0.2500 0.7500 0.5000  4 Re 2.76

Output
energy relative to the elements: 0.100 eV/atom
calculated density: 9.553 g cm⁻³
spin magnetization: 0.000 μB per formula unit
N(E_F): 0.78 states/eV/atom
raw total energy: -9.591 eV/atom
symmetry: No. 139

[3]
A plane-wave DFT calculation with PBE-GGA was carried out for an optimized crystal structure of Ac6Ir3Se2Cl.

a b c (Å): 4.3373 9.2019 10.1745
angles (deg): 107.79 102.31 90.00
Closest atoms and distances in Å follow each position.
Positions (direct):
Ac 0.3239 0.9329 0.6478  3 Ir 2.98-3.02, 2 Se 3.29
Ac 0.6604 0.5979 0.3207  3 Ir 3.03-3.04, 3 Se 3.32-3.34
Ac 0.6761 0.0671 0.3522  3 Ir 2.98-3.02, 2 Se 3.29
Ac 0.9930 0.2738 0.9860  3 Ir 2.98-3.00, 1 Se 3.28
Ac 0.0070 0.7262 0.0140  3 Ir 2.98-3.00, 1 Se 3.28
Ac 0.3396 0.4021 0.6793  3 Ir 3.03-3.04, 3 Se 3.32-3.34
Ir 0.5000 0.5000 0.0000  6 Ac 2.98-3.03
Ir 0.8341 0.1672 0.6681  6 Ac 2.98-3.04
Ir 0.1659 0.8328 0.3319  6 Ac 2.98-3.04
Se 0.8359 0.6730 0.6718  6 Ac 3.28-3.34
Se 0.1641 0.3270 0.3282  6 Ac 3.28-3.34
Cl 0.5000 0.0000 0.0000  6 Ac 3.36

Output
calculated density: 9.394 g cm⁻³
spin magnetization: 0.000 μB per formula unit
raw formation energy: -1276 meV per atom
N(E_F): 0.64 states/eV/atom
raw total energy: -6.280 eV/atom
symmetry: No. 12